# 1
Density functional theory data (PBE-GGA) for a relaxed structure of TlAuCl2.

## Properties
Energy relative to the lowest polymorph listed for this composition = 1.03 eV/f.u.
Formation energy (no corrections) = -368 meV per atom

Lattice parameters (Å, degrees): 3.8539 3.8539 7.8154 90.00 90.00 90.00
Last column: nearest neighbours and their distance in Å.
Space group P4mm (No. 99)
Symmetry-distinct sites (fractional):
Tl 0.0000 0.0000 0.0000 x1  5 Cl 3.07-3.35
Au 0.5000 0.5000 0.5341 x1  5 Cl 2.74-2.75
Cl 0.0000 0.0000 0.5709 x1  4 Au 2.74
Cl 0.5000 0.5000 0.1817 x1  1 Au 2.75, 4 Tl 3.07

# 2
Density functional theory data (PBE-GGA) for a relaxed structure of TlAuCl2.

## Properties
Energy relative to the lowest polymorph listed for this composition = 1.86 eV/f.u.
Formation energy (no corrections) = -161 meV per atom

Lattice parameters (Å, degrees): 4.0576 4.0576 26.0906 90.00 90.00 120.00
Last column: nearest neighbours and their distance in Å.
Space group R-3m (No. 166, hexagonal axes)
Symmetry-distinct sites (fractional):
Tl 0.0000 0.0000 0.0000 x3  2 Cl 2.93
Au 0.0000 0.0000 0.5000 x3  6 Cl 2.74
Cl 0.0000 0.0000 0.1124 x6  3 Au 2.74, 1 Tl 2.93

# 3
Density functional theory data (PBE-GGA) for a relaxed structure of Tl3AuCl6.

## Properties
Energy relative to the lowest polymorph listed for this composition = 0.86 eV/f.u.
Formation energy (no corrections) = -658 meV per atom

Lattice parameters (Å, degrees): 12.7337 12.7337 14.2872 90.00 90.00 120.00
Last column: nearest neighbours and their distance in Å.
Space group R-3 (No. 148, hexagonal axes)
Symmetry-distinct sites (fractional):
Tl 0.0439 0.2745 0.1985 x18  6 Cl 3.08-3.27
Au 0.0000 0.0000 0.0000 x3  6 Cl 2.55
Au 0.0000 0.0000 0.5000 x3  6 Cl 2.55
Cl 0.0236 0.1755 0.8982 x18  1 Au 2.55
Cl 0.0264 0.1770 0.3989 x18  1 Au 2.55

# 4
Density functional theory data (PBE-GGA) for a relaxed structure of TlAuCl2.

## Properties
Energy relative to the lowest polymorph listed for this composition = 0.79 eV/f.u.
Formation energy (no corrections) = -428 meV per atom

Lattice parameters (Å, degrees): 6.2294 6.2294 14.1633 90.00 90.00 90.00
Last column: nearest neighbours and their distance in Å.
Space group I-42d (No. 122)
Symmetry-distinct sites (fractional):
Tl 0.0000 0.0000 0.0000 x4  4 Cl 3.11
Au 0.0000 0.0000 0.5000 x4  4 Cl 2.60
Cl 0.1757 0.2500 0.6250 x8  2 Au 2.60